Computed, not measured: a relaxed Mn3TlTc crystal at the PBEsol level of DFT.

Cell lengths 4.863, 4.863, 4.863 Å; angles 90.00, 90.00, 90.00 degrees
Last column: magnetic moment on the atom in μB.
Sites, in units of the cell vectors:
Mn1 0.000 0.000 0.500  3.82
Mn2 0.500 0.000 0.000  3.82
Mn3 0.000 0.500 0.000  3.82
Tl1 0.000 0.000 0.000  -0.08
Tc1 0.500 0.500 0.500  2.84

Computed properties:
ΔH_f (0 K) (eV per formula unit): 11.38
Electronic total energy (eV/atom): -6.36
Total magnetic moment (μB per formula unit): 15.09
Space group: Pm-3m (221)